A plane-wave DFT calculation with PBE with a Hubbard U was carried out for crystalline ScCdMoO6 at its relaxed geometry.

Computed properties:
VASP energy ... -6.6855 eV/atom
Space group ... P312, No. 149

Unit cell a=4.717 b=5.377 c=5.377 alpha=120.00 beta=90.00 gamma=90.00
Last column: magnetic moment on the atom in μB.
Fractional coordinates of all 9 atoms:
Sc1 0.500 0.667 0.333  -0.02
Cd1 0.000 0.333 0.667  0.02
Mo1 0.500 0.000 0.000  -0.14
O1 0.725 0.704 0.689  0.17
O2 0.725 0.311 0.015  0.17
O3 0.725 0.985 0.296  0.17
O4 0.275 0.311 0.296  0.17
O5 0.275 0.704 0.015  0.17
O6 0.275 0.985 0.689  0.17